[1]
Entry from Alexandria: a relaxed structure of PuGa2Fe (PBE-GGA).

Calculated total energy: -7.209 eV per atom
Fermi-level density of states: 6.1 states/eV/f.u.
Space group: R-3m, No. 166

```
4
Lattice="1.4335 0.8276 9.3360 -1.4335 0.8276 9.3360 0.0000 -1.6552 9.3360" Properties=species:S:1:pos:R:3 pbc="T T T"
Pu 0.0000 0.0000 0.0000
Ga 0.0000 0.0000 6.6640
Ga 0.0000 0.0000 21.3440
Fe 0.0000 0.0000 14.0040
```


[2]
Entry from Alexandria: a relaxed structure of MgScNb (PBE-GGA).

Calculated total energy: -5.882 eV per atom
Energy above the most stable polymorph in this dataset: 142 meV/atom
Fermi-level density of states: 3.6 states/eV/f.u.
Space group: P2/m, No. 10

```
6
Lattice="2.9849 0.0000 0.0000 0.0000 5.1158 0.0000 -0.2853 0.0000 8.2573" Properties=species:S:1:pos:R:3 pbc="T T T"
Mg 0.2173 0.0000 1.4257
Mg 2.4823 0.0000 6.8316
Sc 1.3498 0.0000 4.1286
Sc 1.4925 2.5579 0.0000
Nb 0.2062 2.5579 5.3482
Nb 2.4934 2.5579 2.9091
```


What did the first record say?
Entry from Alexandria: a relaxed structure of PuGa2Fe (PBE-GGA).

Calculated total energy: -7.209 eV per atom
Fermi-level density of states: 6.1 states/eV/f.u.
Space group: R-3m, No. 166

```
4
Lattice="1.4335 0.8276 9.3360 -1.4335 0.8276 9.3360 0.0000 -1.6552 9.3360" Properties=species:S:1:pos:R:3 pbc="T T T"
Pu 0.0000 0.0000 0.0000
Ga 0.0000 0.0000 6.6640
Ga 0.0000 0.0000 21.3440
Fe 0.0000 0.0000 14.0040
```


Q: The highest Fermi-level density of states belongs to which entry?
A: PuGa2Fe